1.
The following is a DFT calculation (GGA-PBE) of a geometry-optimized Dy3CuAu structure.

Lattice parameters (Å, degrees): 3.867 7.144 9.420 90.00 90.00 90.00
Fractional positions:
Dy 0.250 0.002 0.180
Dy 0.250 0.250 0.561
Dy 0.250 0.498 0.180
Dy 0.750 0.502 0.820
Dy 0.750 0.750 0.439
Dy 0.750 0.998 0.820
Cu 0.250 0.250 0.933
Cu 0.750 0.750 0.067
Au 0.250 0.750 0.669
Au 0.750 0.250 0.331

Output
The calculation puts the volume at 26.020 Å³/atom. The calculation puts the formation enthalpy at 0 K at -0.344 eV per atom. The symmetry is Pmmn (59). The calculation puts the density of states at the Fermi level at 0.967 states/eV per atom.

2.
The following is a DFT calculation (GGA-PBE) of a geometry-optimized Dy7Cu2Au2 structure.

Lattice parameters (Å, degrees): 6.623 6.623 7.116 90.00 90.00 109.30
Fractional positions:
Dy 0.000 0.000 0.000
Dy 0.000 0.500 0.265
Dy 0.000 0.500 0.735
Dy 0.500 0.000 0.265
Dy 0.500 0.000 0.735
Dy 0.500 0.500 0.254
Dy 0.500 0.500 0.746
Cu 0.295 0.705 0.000
Cu 0.705 0.295 0.000
Au 0.188 0.188 0.500
Au 0.812 0.812 0.500

Output
The calculation puts the volume at 26.781 Å³/atom. The calculation puts the formation enthalpy at 0 K at -0.166 eV per atom. The symmetry is Cmmm (65). The calculation puts the density of states at the Fermi level at 1.196 states/eV per atom.

3.
The following is a DFT calculation (GGA-PBE) of a geometry-optimized Dy3CuAu2 structure.

Lattice parameters (Å, degrees): 5.033 5.033 12.413 90.00 90.00 120.00
Fractional positions:
Dy 0.000 0.000 0.246
Dy 0.000 0.000 0.754
Dy 0.333 0.667 0.414
Dy 0.333 0.667 0.918
Dy 0.667 0.333 0.082
Dy 0.667 0.333 0.586
Cu 0.333 0.667 0.168
Cu 0.667 0.333 0.832
Au 0.000 0.000 0.000
Au 0.000 0.000 0.500
Au 0.333 0.667 0.675
Au 0.667 0.333 0.325

Output
The calculation puts the volume at 22.689 Å³/atom. The calculation puts the formation enthalpy at 0 K at -0.658 eV per atom. The symmetry is P-3m1 (164). The calculation puts the density of states at the Fermi level at 0.428 states/eV per atom.